Here is an optimized crystal structure of SrAlSn2 from Alexandria. Energies are from PBE.

Values from the calculation:
E_form ... -0.243 eV per atom
D(E_F) ... 0.476 states/eV/atom
Crystal system ... trigonal
Symmetry ... R-3m, No. 166
Raw total energy ... -0.26465 Ry/atom
Total moment ... 0.000 μB per atom

Unit cell a=4.859 b=4.859 c=6.341 alpha=67.47 beta=67.47 gamma=60.00
Sites, in units of the cell vectors:
1 Sr 0.500 0.500 0.500
2 Sn 0.284 0.284 0.148
3 Sn 0.716 0.716 0.852
4 Al 0.000 0.000 0.000

Here is an optimized crystal structure of SrAlSn2 from Alexandria. Energies are from PBE.

Values from the calculation:
E_form ... -0.242 eV per atom
D(E_F) ... 0.688 states/eV/atom
Crystal system ... tetragonal
Symmetry ... P4/mmm, No. 123
Raw total energy ... -0.26458 Ry/atom
Total moment ... 0.000 μB per atom

Unit cell a=4.672 b=4.792 c=4.792 alpha=90.00 beta=90.00 gamma=90.00
Sites, in units of the cell vectors:
1 Sr 0.500 0.500 0.500
2 Sn 0.000 0.000 0.500
3 Sn 0.000 0.500 0.000
4 Al 0.500 0.000 0.000

Here is an optimized crystal structure of Sr2AlSn3 from Alexandria. Energies are from PBE.

Values from the calculation:
Polymorph energy (0 for the lowest one) ... 39.6 meV/atom
E_form ... -0.394 eV per atom
D(E_F) ... 0.605 states/eV/atom
Crystal system ... orthorhombic
Symmetry ... Pmm2, No. 25
Raw total energy ... -0.26311 Ry/atom
Total moment ... 0.000 μB per atom

Unit cell a=4.692 b=4.593 c=8.869 alpha=90.00 beta=90.00 gamma=90.00
Sites, in units of the cell vectors:
1 Sr 0.000 0.500 0.002
2 Sr 0.000 0.000 0.500
3 Al 0.500 0.500 0.336
4 Sn 0.500 0.000 0.839
5 Sn 0.500 0.000 0.182
6 Sn 0.500 0.500 0.641

Here is an optimized crystal structure of Sr4AlSn8 from Alexandria. Energies are from PBE.

Values from the calculation:
E_form ... -0.397 eV per atom
D(E_F) ... 0.629 states/eV/atom
Crystal system ... orthorhombic
Symmetry ... Pmm2, No. 25
Raw total energy ... -0.26942 Ry/atom
Total moment ... 0.000 μB per atom

Unit cell a=4.548 b=4.755 c=18.711 alpha=90.00 beta=90.00 gamma=90.00
Sites, in units of the cell vectors:
1 Sr 0.000 0.000 0.092
2 Sr 0.000 0.500 0.606
3 Sr 0.500 0.500 0.399
4 Sr 0.500 0.000 0.893
5 Al 0.000 0.000 0.325
6 Sn 0.000 0.000 0.469
7 Sn 0.000 0.500 0.939
8 Sn 0.500 0.500 0.039
9 Sn 0.500 0.000 0.568
10 Sn 0.000 0.500 0.237
11 Sn 0.000 0.000 0.743
12 Sn 0.500 0.000 0.236
13 Sn 0.500 0.500 0.756

Question: What is the formula in the first record?
Answer: SrAlSn2

Question: Among the records above, which one has the lowest D(E_F)?
Answer: number 1

Question: Look up the raw total energy of the second one.
Answer: -0.26458 Ry/atom

Question: Number 3 is which compound?
Answer: Sr2AlSn3